No. 1
VASP calculation (GGA-PBE) on crystalline BaCa2HgO4 at its relaxed geometry.

Raw formation energy = -2075 meV per atom
Volume = 273.16 Å³ per cell

Cell lengths 6.374, 6.374, 12.462 Å; angles 90.00, 90.00, 147.35 degrees
Positions (direct):
1 Ba 0.125 0.875 0.750
2 Ba 0.875 0.125 0.250
3 Ca 0.372 0.628 0.536
4 Ca 0.372 0.628 0.964
5 Ca 0.628 0.372 0.036
6 Ca 0.628 0.372 0.464
7 Hg 0.143 0.857 0.250
8 Hg 0.857 0.143 0.750
9 O 0.000 0.000 0.000
10 O 0.000 0.000 0.500
11 O 0.258 0.742 0.109
12 O 0.258 0.742 0.391
13 O 0.469 0.531 0.750
14 O 0.531 0.469 0.250
15 O 0.742 0.258 0.609
16 O 0.742 0.258 0.891

=====

No. 2
VASP calculation (GGA-PBE) on crystalline Ba3CaHg2O6 at its relaxed geometry.

Raw formation energy = -1640 meV per atom
Volume = 245.85 Å³ per cell

Cell lengths 6.429, 6.429, 6.868 Å; angles 90.00, 90.00, 120.00 degrees
Positions (direct):
1 Ba 0.000 0.000 0.000
2 Ba 0.333 0.667 0.612
3 Ba 0.667 0.333 0.388
4 Ca 0.000 0.000 0.500
5 Hg 0.333 0.667 0.134
6 Hg 0.667 0.333 0.866
7 O 0.165 0.330 0.301
8 O 0.165 0.835 0.301
9 O 0.330 0.165 0.699
10 O 0.670 0.835 0.301
11 O 0.835 0.165 0.699
12 O 0.835 0.670 0.699

=====

No. 3
VASP calculation (GGA-PBE) on crystalline BaCa2HgP at its relaxed geometry.

Energy of formation from the pure elements = -0.5960 eV/atom
Volume = 188.91 Å³ per cell

Cell lengths 5.449, 5.449, 6.361 Å; angles 90.00, 90.00, 90.00 degrees
Positions (direct):
1 Ba 0.000 0.000 0.000
2 Ca 0.000 0.500 0.500
3 Ca 0.500 0.000 0.500
4 Hg 0.500 0.500 0.000
5 P 0.000 0.000 0.500

=====

No. 4
VASP calculation (GGA-PBE) on crystalline BaCaHgP2 at its relaxed geometry.

Energy of formation from the pure elements = 0.1291 eV/atom
Volume = 153.80 Å³ per cell

Cell lengths 5.400, 5.400, 5.274 Å; angles 90.00, 90.00, 90.00 degrees
Positions (direct):
1 Ba 0.000 0.000 0.000
2 Ca 0.500 0.500 0.000
3 Hg 0.500 0.500 0.500
4 P 0.000 0.500 0.500
5 P 0.500 0.000 0.500

=====

No. 5
VASP calculation (GGA-PBE) on crystalline BaCa2HgPb at its relaxed geometry.

Energy of formation from the pure elements = 0.7338 eV/atom
Volume = 351.80 Å³ per cell

Cell lengths 7.390, 7.390, 6.442 Å; angles 90.00, 90.00, 90.00 degrees
Positions (direct):
1 Ba 0.000 0.000 0.000
2 Ca 0.000 0.500 0.000
3 Ca 0.500 0.000 0.000
4 Hg 0.500 0.500 0.500
5 Pb 0.000 0.000 0.500

=====

No. 6
VASP calculation (GGA-PBE) on crystalline Ba2CaHg12Pd3 at its relaxed geometry.

Energy of formation from the pure elements = -0.1357 eV/atom
Volume = 572.45 Å³ per cell

Cell lengths 8.955, 8.955, 8.955 Å; angles 65.88, 65.88, 65.88 degrees
Positions (direct):
1 Ba 0.095 0.095 0.095
2 Ba 0.905 0.905 0.905
3 Ca 0.500 0.500 0.500
4 Hg 0.095 0.648 0.648
5 Hg 0.199 0.199 0.649
6 Hg 0.199 0.649 0.199
7 Hg 0.351 0.801 0.801
8 Hg 0.352 0.352 0.905
9 Hg 0.352 0.905 0.352
10 Hg 0.648 0.095 0.648
11 Hg 0.648 0.648 0.095
12 Hg 0.649 0.199 0.199
13 Hg 0.801 0.351 0.801
14 Hg 0.801 0.801 0.351
15 Hg 0.905 0.352 0.352
16 Pd 0.000 0.500 0.500
17 Pd 0.500 0.000 0.500
18 Pd 0.500 0.500 0.000

=====

No. 7
VASP calculation (GGA-PBE) on crystalline BaCa2HgPd at its relaxed geometry.

Energy of formation from the pure elements = -0.3303 eV/atom
Relative energy among the computed polymorphs = 0.11 eV per formula unit
Volume = 169.56 Å³ per cell

Cell lengths 5.527, 5.527, 5.550 Å; angles 90.00, 90.00, 90.00 degrees
Positions (direct):
1 Ba 0.000 0.000 0.000
2 Ca 0.000 0.500 0.500
3 Ca 0.500 0.000 0.500
4 Hg 0.500 0.500 0.000
5 Pd 0.500 0.500 0.500

=====

No. 8
VASP calculation (GGA-PBE) on crystalline BaCa2HgPd at its relaxed geometry.

Energy of formation from the pure elements = -0.3526 eV/atom
Relative energy among the computed polymorphs = 0.00 eV per formula unit
Volume = 192.20 Å³ per cell

Cell lengths 5.589, 5.589, 6.152 Å; angles 90.00, 90.00, 90.00 degrees
Positions (direct):
1 Ba 0.000 0.000 0.000
2 Ca 0.000 0.500 0.500
3 Ca 0.500 0.000 0.500
4 Hg 0.500 0.500 0.000
5 Pd 0.000 0.000 0.500

=====

No. 9
VASP calculation (GGA-PBE) on crystalline Ba2CaHgPd at its relaxed geometry.

Energy of formation from the pure elements = 0.5854 eV/atom
Relative energy among the computed polymorphs = 4.62 eV per formula unit
Volume = 239.59 Å³ per cell

Cell lengths 6.685, 6.685, 5.361 Å; angles 90.00, 90.00, 90.00 degrees
Positions (direct):
1 Ba 0.000 0.500 0.000
2 Ba 0.500 0.000 0.000
3 Ca 0.000 0.000 0.000
4 Hg 0.000 0.000 0.500
5 Pd 0.500 0.500 0.500

=====

No. 10
VASP calculation (GGA-PBE) on crystalline Ba2CaHgPd at its relaxed geometry.

Energy of formation from the pure elements = -0.3390 eV/atom
Relative energy among the computed polymorphs = 0.00 eV per formula unit
Volume = 214.23 Å³ per cell

Cell lengths 6.218, 6.218, 5.540 Å; angles 90.00, 90.00, 90.00 degrees
Positions (direct):
1 Ba 0.000 0.500 0.000
2 Ba 0.500 0.000 0.000
3 Ca 0.000 0.000 0.500
4 Hg 0.500 0.500 0.500
5 Pd 0.000 0.000 0.000

=====

No. 11
VASP calculation (GGA-PBE) on crystalline BaCaHgPd at its relaxed geometry.

Energy of formation from the pure elements = -0.4527 eV/atom
Volume = 471.64 Å³ per cell

Cell lengths 7.784, 7.784, 7.784 Å; angles 90.00, 90.00, 90.00 degrees
Positions (direct):
1 Ba 0.000 0.000 0.000
2 Ba 0.000 0.500 0.500
3 Ba 0.500 0.000 0.500
4 Ba 0.500 0.500 0.000
5 Ca 0.000 0.000 0.500
6 Ca 0.000 0.500 0.000
7 Ca 0.500 0.000 0.000
8 Ca 0.500 0.500 0.500
9 Hg 0.250 0.250 0.250
10 Hg 0.250 0.750 0.750
11 Hg 0.750 0.250 0.750
12 Hg 0.750 0.750 0.250
13 Pd 0.250 0.250 0.750
14 Pd 0.250 0.750 0.250
15 Pd 0.750 0.250 0.250
16 Pd 0.750 0.750 0.750

=====

No. 12
VASP calculation (GGA-PBE) on crystalline Ba2CaPr2Hg5 at its relaxed geometry.

Energy of formation from the pure elements = -0.3899 eV/atom
Volume = 654.34 Å³ per cell

Cell lengths 12.398, 12.398, 4.257 Å; angles 90.00, 90.00, 90.00 degrees
Positions (direct):
1 Ba 0.171 0.329 0.000
2 Ba 0.329 0.829 0.000
3 Ba 0.671 0.171 0.000
4 Ba 0.829 0.671 0.000
5 Ca 0.000 0.000 0.000
6 Ca 0.500 0.500 0.000
7 Pr 0.131 0.631 0.000
8 Pr 0.369 0.131 0.000
9 Pr 0.631 0.869 0.000
10 Pr 0.869 0.369 0.000
11 Hg 0.000 0.500 0.500
12 Hg 0.072 0.817 0.500
13 Hg 0.183 0.072 0.500
14 Hg 0.317 0.572 0.500
15 Hg 0.428 0.317 0.500
16 Hg 0.500 0.000 0.500
17 Hg 0.572 0.683 0.500
18 Hg 0.683 0.428 0.500
19 Hg 0.817 0.928 0.500
20 Hg 0.928 0.183 0.500

=====

No. 13
VASP calculation (GGA-PBE) on crystalline RbBa2CaHg at its relaxed geometry.

Energy of formation from the pure elements = -0.1139 eV/atom
Volume = 285.99 Å³ per cell

Cell lengths 6.765, 6.765, 6.249 Å; angles 90.00, 90.00, 90.00 degrees
Positions (direct):
1 Rb 0.000 0.000 0.000
2 Ba 0.000 0.500 0.500
3 Ba 0.500 0.000 0.500
4 Ca 0.500 0.500 0.000
5 Hg 0.500 0.500 0.500

=====

No. 14
VASP calculation (GGA-PBE) on crystalline Ba2CaReHg at its relaxed geometry.

Energy of formation from the pure elements = 1.0672 eV/atom
Volume = 233.96 Å³ per cell

Cell lengths 6.360, 6.360, 5.784 Å; angles 90.00, 90.00, 90.00 degrees
Positions (direct):
1 Ba 0.000 0.500 0.000
2 Ba 0.500 0.000 0.000
3 Ca 0.000 0.000 0.500
4 Re 0.500 0.500 0.500
5 Hg 0.000 0.000 0.000

=====

No. 15
VASP calculation (GGA-PBE) on crystalline BaCa2HgRh at its relaxed geometry.

Energy of formation from the pure elements = -0.2565 eV/atom
Relative energy among the computed polymorphs = 0.05 eV per formula unit
Volume = 163.99 Å³ per cell

Cell lengths 5.420, 5.420, 5.583 Å; angles 90.00, 90.00, 90.00 degrees
Positions (direct):
1 Ba 0.000 0.000 0.000
2 Ca 0.000 0.500 0.500
3 Ca 0.500 0.000 0.500
4 Hg 0.500 0.500 0.000
5 Rh 0.500 0.500 0.500

=====

No. 16
VASP calculation (GGA-PBE) on crystalline Ba2CaHgRh at its relaxed geometry.

Energy of formation from the pure elements = -0.2459 eV/atom
Volume = 200.88 Å³ per cell

Cell lengths 6.059, 6.059, 5.471 Å; angles 90.00, 90.00, 90.00 degrees
Positions (direct):
1 Ba 0.000 0.500 0.000
2 Ba 0.500 0.000 0.000
3 Ca 0.000 0.000 0.500
4 Hg 0.500 0.500 0.500
5 Rh 0.000 0.000 0.000

=====

No. 17
VASP calculation (GGA-PBE) on crystalline BaCa2HgRh at its relaxed geometry.

Energy of formation from the pure elements = -0.2671 eV/atom
Relative energy among the computed polymorphs = 0.00 eV per formula unit
Volume = 181.93 Å³ per cell

Cell lengths 5.487, 5.487, 6.044 Å; angles 90.00, 90.00, 90.00 degrees
Positions (direct):
1 Ba 0.000 0.000 0.000
2 Ca 0.000 0.500 0.500
3 Ca 0.500 0.000 0.500
4 Hg 0.500 0.500 0.000
5 Rh 0.000 0.000 0.500

=====

No. 18
VASP calculation (GGA-PBE) on crystalline BaCa2HgS at its relaxed geometry.

Relative energy among the computed polymorphs = 3.57 eV per formula unit
Raw formation energy = -148 meV per atom
Volume = 205.84 Å³ per cell

Cell lengths 5.625, 5.625, 6.506 Å; angles 90.00, 90.00, 90.00 degrees
Positions (direct):
1 Ba 0.000 0.000 0.000
2 Ca 0.000 0.500 0.500
3 Ca 0.500 0.000 0.500
4 Hg 0.500 0.500 0.500
5 S 0.500 0.500 0.000

=====

No. 19
VASP calculation (GGA-PBE) on crystalline BaCa2HgS at its relaxed geometry.

Relative energy among the computed polymorphs = 0.00 eV per formula unit
Raw formation energy = -861 meV per atom
Volume = 178.97 Å³ per cell

Cell lengths 5.368, 5.368, 6.210 Å; angles 90.00, 90.00, 90.00 degrees
Positions (direct):
1 Ba 0.000 0.000 0.000
2 Ca 0.000 0.500 0.500
3 Ca 0.500 0.000 0.500
4 Hg 0.500 0.500 0.000
5 S 0.000 0.000 0.500

=====

No. 20
VASP calculation (GGA-PBE) on crystalline Ba2CaHgS at its relaxed geometry.

Raw formation energy = -863 meV per atom
Volume = 203.33 Å³ per cell

Cell lengths 6.202, 6.202, 5.287 Å; angles 90.00, 90.00, 90.00 degrees
Positions (direct):
1 Ba 0.000 0.500 0.000
2 Ba 0.500 0.000 0.000
3 Ca 0.000 0.000 0.500
4 Hg 0.500 0.500 0.500
5 S 0.000 0.000 0.000

=====

| no. | total moment (μB per cell) | uncorrected energy (eV per atom) |
| --- | --- | --- |
| 1 | 0.16 | -5.333 |
| 2 | 0.00 | -4.817 |
| 3 | 0.00 | -2.924 |
| 4 | 0.00 | -2.880 |
| 5 | 0.00 | -1.253 |
| 6 | 0.00 | -1.527 |
| 7 | 0.00 | -2.614 |
| 8 | 0.00 | -2.637 |
| 9 | 0.00 | -1.683 |
| 10 | 0.00 | -2.607 |
| 11 | 0.00 | -2.807 |
| 12 | 0.00 | -2.081 |
| 13 | 0.00 | -1.537 |
| 14 | 3.54 | -2.652 |
| 15 | 0.00 | -2.972 |
| 16 | 0.00 | -2.946 |
| 17 | 0.00 | -2.983 |
| 18 | 0.00 | -2.219 |
| 19 | 0.00 | -2.932 |
| 20 | 0.00 | -2.919 |